Here is an optimized crystal structure of CrMo2Au from Alexandria via LeMat-Bulk. Energies are from GGA-PBE.

POSCAR file:
```
CrMo2Au
1.0
0.000 3.162 3.162
3.162 0.000 3.162
3.162 3.162 0.000
Cr Mo Au
1 2 1
Direct
0.000 0.000 0.000
0.500 0.500 0.500
0.750 0.750 0.750
0.250 0.250 0.250
```

Energy of formation   0.377 eV per atom
Distance to the lowest polymorph of the same formula   63 kJ/mol of formula units
D(E_F)   4.21 states/eV per cell
Spin magnetization   0.60 μB per atom
Symmetry   F-43m, No. 216